VASP calculation (PBE+U) on crystalline ErCoAgF6 at its relaxed geometry.

Geometry as extended XYZ:
```
18
Lattice="-2.597 -1.656 -4.806 5.699 0.227 0.232 0.254 -9.589 3.167" Properties=species:S:1:pos:R:3 pbc="T T T"
F -1.494 -4.497 -1.942
F -0.480 -2.907 -4.208
F 1.411 -8.742 1.081
F 3.835 -8.110 2.800
F -0.853 -1.971 -1.341
F 4.208 -9.047 -0.066
F 1.945 -2.275 -2.488
F 2.252 -6.089 2.051
F 4.850 -6.521 0.535
F 1.168 -3.974 -0.573
F 1.104 -4.928 -3.458
F 2.188 -7.043 -0.834
Er 2.997 -2.798 -0.656
Er 0.359 -8.220 -0.752
Ag 0.000 0.000 0.000
Ag 0.127 -4.795 1.583
Co 3.124 -7.592 0.928
Co 0.232 -3.425 -2.335
```

- Energy: -5.358 eV/atom
- V: 15.8 A^3/atom